An optimized crystal structure of CrAgPt3, computed with GGA-PBE.

The structure in extended XYZ format:
```
5
Lattice="4.8666 0.0000 0.0000 0.0000 4.8666 0.0000 0.0000 0.0000 4.8666" Properties=species:S:1:pos:R:3 pbc="T T T"
Cr 0.0000 0.0000 0.0000
Ag 2.4333 2.4333 2.4333
Pt 0.0000 2.4333 2.4333
Pt 2.4333 0.0000 2.4333
Pt 2.4333 2.4333 0.0000
```



An optimized crystal structure of CrAgPt2, computed with GGA-PBE.

The structure in extended XYZ format:
```
4
Lattice="1.3874 0.8010 9.1924 -1.3874 0.8010 9.1924 0.0000 -1.6021 9.1924" Properties=species:S:1:pos:R:3 pbc="T T T"
Cr 0.0000 0.0000 0.0000
Ag 0.0000 0.0000 13.7885
Pt 0.0000 0.0000 7.0917
Pt 0.0000 0.0000 20.4854
```



An optimized crystal structure of CrAgPt2, computed with GGA-PBE.

The structure in extended XYZ format:
```
4
Lattice="2.8842 0.0000 0.0000 0.0000 3.6972 0.0000 0.0000 0.0000 5.8508" Properties=species:S:1:pos:R:3 pbc="T T T"
Cr 0.0000 0.0000 0.0000
Ag 0.0000 0.0000 2.9254
Pt 1.4421 1.8486 1.3598
Pt 1.4421 1.8486 4.4910
```



Number 1: raw total energy -22.91 eV/f.u.. Number 2: raw total energy -24.81 eV/f.u.. Number 3: raw total energy -24.88 eV/f.u..